Record 1
DFT (SCAN) results for a crystal of Ag2HgAu2 relaxed with PBEsol.

Cell lengths 7.276, 7.276, 7.276 Å; angles 149.84, 149.84, 43.17 degrees
Sites, in units of the cell vectors:
Ag  0.250  0.750  0.500
Ag  0.750  0.250  0.500
Hg  0.000  0.000  0.000
Au  0.401  0.401  0.000
Au  0.599  0.599  0.000

Computed properties:
E_form: 107 meV/atom
Calculated total energy: -268.68 eV/cell
V: 97.0 Å³/f.u.

***

Record 2
DFT (SCAN) results for a crystal of MgIr2Au relaxed with PBEsol.

Cell lengths 5.447, 5.447, 5.447 Å; angles 149.69, 129.62, 59.93 degrees
Sites, in units of the cell vectors:
Mg  0.000  0.000  0.000
Ir  0.256  0.756  0.500
Ir  0.483  0.483  0.000
Au  0.739  0.239  0.500

Computed properties:
E_form: 40 meV/atom
Calculated total energy: -216.17 eV/cell
V: 62.3 Å³/f.u.

***

Record 3
DFT (SCAN) results for a crystal of CaAg2Rh relaxed with PBEsol.

Cell lengths 3.420, 3.420, 6.217 Å; angles 90.00, 90.00, 90.00 degrees
Sites, in units of the cell vectors:
Ca  0.000  0.000  0.000
Ag  0.000  0.000  0.477
Ag  0.500  0.500  0.697
Rh  0.500  0.500  0.248

Computed properties:
E_form: -50 meV/atom
Calculated total energy: -106.37 eV/cell
V: 72.7 Å³/f.u.

***

Record 4
DFT (SCAN) results for a crystal of Tl2Te relaxed with PBEsol.

Cell lengths 5.582, 5.582, 6.885 Å; angles 90.00, 90.00, 120.00 degrees
Sites, in units of the cell vectors:
Tl  0.000  0.000  0.000
Tl  0.000  0.000  0.500
Tl  0.333  0.667  0.250
Tl  0.667  0.333  0.750
Te  0.333  0.667  0.750
Te  0.667  0.333  0.250

Computed properties:
Calculated total energy: -365.35 eV/cell
V: 92.9 Å³/f.u.
Energy relative to the elements, uncorrected: -235.2 meV per atom

***

Repeat the first record exactly.
DFT (SCAN) results for a crystal of Ag2HgAu2 relaxed with PBEsol.

Cell lengths 7.276, 7.276, 7.276 Å; angles 149.84, 149.84, 43.17 degrees
Sites, in units of the cell vectors:
Ag  0.250  0.750  0.500
Ag  0.750  0.250  0.500
Hg  0.000  0.000  0.000
Au  0.401  0.401  0.000
Au  0.599  0.599  0.000

Computed properties:
E_form: 107 meV/atom
Calculated total energy: -268.68 eV/cell
V: 97.0 Å³/f.u.

***

The lowest calculated total energy belongs to which entry? Tl2Te